Record 1
TiMo4 | GGA-PBE | relaxed

Crystal system   monoclinic
Offset from the most stable computed form   0 meV/atom

abc: 7.714 4.467 5.258
angles: 90.00 119.37 90.00
Space group C2/m (No. 12)
Asymmetric unit:
Ti: 0.000 0.000 0.000 (multiplicity 2)
Mo: 0.098 0.500 0.796 (multiplicity 4)
Mo: 0.204 0.000 0.611 (multiplicity 4)

=====

Record 2
TiMo | GGA-PBE | relaxed

Crystal system   cubic

abc: 5.640 5.640 5.640
angles: 90.00 90.00 90.00
Space group F-43m (No. 216)
Asymmetric unit:
Ti: 0.000 0.000 0.000 (multiplicity 4)
Mo: 0.250 0.250 0.750 (multiplicity 4)

=====

Record 3
Ti5Mo | GGA-PBE | relaxed

Crystal system   tetragonal
Offset from the most stable computed form   51 meV/atom

abc: 3.163 3.163 10.120
angles: 90.00 90.00 90.00
Space group P4/mmm (No. 123)
Asymmetric unit:
Ti: 0.000 0.000 0.000 (multiplicity 1)
Ti: 0.000 0.000 0.352 (multiplicity 2)
Ti: 0.500 0.500 0.173 (multiplicity 2)
Mo: 0.500 0.500 0.500 (multiplicity 1)

=====

Record 4
TiMo | GGA-PBE | relaxed

Crystal system   orthorhombic

abc: 3.171 4.687 4.288
angles: 90.00 90.00 90.00
Space group Cmmm (No. 65)
Asymmetric unit:
Ti: 0.000 0.000 0.000 (multiplicity 2)
Mo: 0.000 0.500 0.500 (multiplicity 2)

=====

Record 5
Ti3Mo13 | GGA-PBE | relaxed

Crystal system   orthorhombic

abc: 6.324 8.922 8.953
angles: 90.00 90.00 90.00
Space group Amm2 (No. 38)
Asymmetric unit:
Ti: 0.000 0.000 0.000 (multiplicity 2)
Ti: 0.253 0.000 0.255 (multiplicity 4)
Mo: 0.000 0.000 0.505 (multiplicity 2)
Mo: 0.000 0.249 0.754 (multiplicity 4)
Mo: 0.250 0.250 0.003 (multiplicity 8)
Mo: 0.251 0.000 0.752 (multiplicity 4)
Mo: 0.500 0.000 0.003 (multiplicity 2)
Mo: 0.500 0.000 0.507 (multiplicity 2)
Mo: 0.500 0.249 0.754 (multiplicity 4)

=====

Record 6
TiMo | GGA-PBE | relaxed

Crystal system   orthorhombic

abc: 3.166 4.482 9.060
angles: 90.00 90.00 90.00
Space group Imma (No. 74)
Asymmetric unit:
Ti: 0.000 0.250 0.116 (multiplicity 4)
Mo: 0.000 0.250 0.634 (multiplicity 4)

=====

Record 7
TiMo5 | GGA-PBE | relaxed

Crystal system   orthorhombic
Offset from the most stable computed form   28 meV/atom

abc: 4.469 13.404 3.160
angles: 90.00 90.00 90.00
Space group Cmmm (No. 65)
Asymmetric unit:
Ti: 0.000 0.000 0.000 (multiplicity 2)
Mo: 0.000 0.168 0.500 (multiplicity 4)
Mo: 0.000 0.334 0.000 (multiplicity 4)
Mo: 0.000 0.500 0.500 (multiplicity 2)

=====

Record 8
TiMo | GGA-PBE | relaxed

Crystal system   orthorhombic

abc: 2.863 4.555 5.194
angles: 90.00 90.00 90.00
Space group Immm (No. 71)
Asymmetric unit:
Ti: 0.000 0.000 0.000 (multiplicity 2)
Mo: 0.000 0.000 0.500 (multiplicity 2)

=====

Record 9
TiMo3 | GGA-PBE | relaxed

Crystal system   orthorhombic

abc: 3.171 4.438 8.978
angles: 90.00 90.00 90.00
Space group Immm (No. 71)
Asymmetric unit:
Ti: 0.000 0.000 0.000 (multiplicity 2)
Mo: 0.000 0.000 0.500 (multiplicity 2)
Mo: 0.000 0.500 0.244 (multiplicity 4)

=====

Record 10
TiMo | GGA-PBE | relaxed

Crystal system   cubic

abc: 7.645 7.645 7.645
angles: 90.00 90.00 90.00
Space group I-43m (No. 217)
Asymmetric unit:
Ti: 0.215 0.215 0.215 (multiplicity 8)
Mo: 0.122 0.122 0.878 (multiplicity 8)

=====

Record 11
Ti5Mo3 | GGA-PBE | relaxed

Crystal system   tetragonal

abc: 3.226 3.226 12.565
angles: 90.00 90.00 90.00
Space group P4/mmm (No. 123)
Asymmetric unit:
Ti: 0.000 0.000 0.000 (multiplicity 1)
Ti: 0.000 0.000 0.237 (multiplicity 2)
Ti: 0.500 0.500 0.385 (multiplicity 2)
Mo: 0.000 0.000 0.500 (multiplicity 1)
Mo: 0.500 0.500 0.129 (multiplicity 2)

=====

Record 12
TiMo | GGA-PBE | relaxed

Crystal system   cubic

abc: 7.038 7.038 7.038
angles: 90.00 90.00 90.00
Space group Pm-3n (No. 223)
Asymmetric unit:
Ti: 0.000 0.250 0.500 (multiplicity 6)
Mo: 0.000 0.500 0.250 (multiplicity 6)

=====

Table of ΔH_f (0 K) (eV/atom), in record order: -0.1563, 2.3129, 0.0236, -0.0941, -0.1222, -0.1381, -0.1130, 0.4820, -0.1550, 1.8962, -0.0612, 2.4416
Table of uncorrected energy (eV per atom), in record order: -10.400, -7.050, -8.361, -9.457, -10.403, -9.501, -10.455, -8.881, -10.252, -7.467, -9.057, -6.921